# Mn2BiO5

A geometry-optimized Mn2BiO5 structure (PBE+U, Alexandria).

Unit cell a=5.807 b=5.807 c=6.703 alpha=115.67 beta=115.67 gamma=90.00
Last column: magnetic moment on the atom in μB.
Element x y z (fractional)
1 O 0.783 0.969 0.252  -0.16
2 O 0.000 0.000 0.000  -0.21
3 O 0.283 0.783 0.252  -0.16
4 O 0.969 0.469 0.252  -0.16
5 O 0.031 0.531 0.748  -0.16
6 Mn 0.177 0.323 0.000  3.85
7 O 0.531 0.717 0.748  -0.16
8 O 0.500 0.500 0.000  -0.21
9 Bi 0.750 0.750 0.500  0.05
10 Bi 0.250 0.250 0.500  0.05
11 Mn 0.823 0.677 0.000  3.85
12 O 0.469 0.283 0.252  -0.16
13 Mn 0.677 0.177 0.000  3.85
14 O 0.217 0.031 0.748  -0.16
15 O 0.717 0.217 0.748  -0.16
16 Mn 0.323 0.823 0.000  3.85

Magnetization (μB per formula unit): 7.00
ρ (Mg/m³): 7.4
Relative energy among the computed polymorphs (eV per formula unit): 3.01
Energy (eV for the cell shown): -104.345